Entry 1:
12
Lattice="-6.433 -1.339 1.843 1.632 -6.106 1.702 1.928 3.033 8.103" Properties=species:S:1:pos:R:3 comment="CeGaSn2Cl8 (GGA-PBE, optimized geometry)" dos_at_fermi_per_ev_atom=0.69 sg=P-1 crystal_system=triclinic energy_ev_per_atom=-3.988 total_magnetization_mub_per_fu=1.0 raw_formation_energy_ev_per_atom=-1.343 pbc="T T T"
Ce 0.000 0.000 0.000
Ga 0.964 1.517 4.052
Sn -1.006 -1.478 7.797
Sn -1.867 -2.934 3.851
Cl 0.730 -4.129 3.429
Cl -1.293 -2.492 10.373
Cl -4.450 -1.663 3.751
Cl -3.603 -0.282 8.219
Cl -1.580 -1.920 1.275
Cl 1.577 -2.749 7.897
Cl -2.054 -3.618 6.758
Cl -0.819 -0.793 4.890


Entry 2:
12
Lattice="-0.239 5.859 2.502 -5.265 -3.095 3.728 6.481 -2.930 0.865" Properties=species:S:1:pos:R:3 comment="CeTlF4 (GGA-PBE, optimized geometry)" dos_at_fermi_per_ev_atom=0.86 sg=C2/c crystal_system=monoclinic energy_ev_per_atom=-5.741 polymorph_energy_mev_per_atom=149 total_magnetization_mub_per_fu=1.0 raw_formation_energy_ev_per_atom=-3.111 pbc="T T T"
Ce 0.985 -4.490 5.036
Ce -0.008 4.323 2.060
Tl -1.600 -0.536 3.655
Tl 2.577 0.370 3.441
F 4.574 2.528 3.921
F 0.346 0.321 5.438
F 1.976 -2.368 4.450
F -0.524 -2.648 5.098
F 1.501 2.482 1.998
F -0.999 2.201 2.646
F 0.631 -0.487 1.657
F -3.597 -2.694 3.175


Entry 3:
12
Lattice="-3.403 -2.678 2.889 -1.173 -4.916 -1.249 5.017 -5.380 5.613" Properties=species:S:1:pos:R:3 comment="Pr3Cu8Pd (GGA-PBE, optimized geometry)" dos_at_fermi_per_ev_atom=0.94 sg=R3m crystal_system=trigonal energy_ev_per_atom=-4.511 total_magnetization_mub_per_fu=0.0 delta_e_f_ev_per_atom=-0.1530 pbc="T T T"
Pr 2.576 -7.513 5.451
Pr -4.358 -7.690 1.810
Pr 0.066 -6.420 3.507
Cu -2.744 -5.692 3.281
Cu 0.796 -9.455 3.916
Cu -0.996 -4.317 1.797
Cu -0.894 -10.785 5.350
Cu 1.322 -3.771 2.751
Cu 1.561 -10.267 6.393
Cu -1.599 -6.841 1.156
Cu -0.311 -8.344 5.970
Pd -2.040 -8.699 3.605


Entry 4:
4
Lattice="5.340 0.000 0.000 2.670 4.625 0.000 2.670 1.542 4.360" Properties=species:S:1:pos:R:3 comment="PrTmPbAu (GGA-PBE, optimized geometry)" dos_at_fermi_per_ev_atom=0.94 sg=F-43m crystal_system=cubic energy_ev_per_atom=-4.639 total_magnetization_mub_per_fu=0.7 delta_e_f_ev_per_atom=-0.5794 pbc="T T T"
Pb 2.670 1.542 1.090
Pr 0.000 0.000 0.000
Tm 5.340 3.083 2.180
Au 8.010 4.625 3.270


Entry 5:
4
Lattice="5.046 0.000 0.000 2.523 4.370 0.000 2.523 1.457 4.120" Properties=species:S:1:pos:R:3 comment="LiHgGeSb (GGA-PBE, optimized geometry)" dos_at_fermi_per_ev_atom=0.23 sg=F-43m crystal_system=cubic energy_ev_per_atom=-2.787 total_magnetization_mub_per_fu=0.0 raw_formation_energy_ev_per_atom=-0.048 pbc="T T T"
Sb 0.000 0.000 0.000
Ge 7.569 4.370 3.090
Hg 5.046 2.913 2.060
Li 2.523 1.457 1.030


Entry 6:
5
Lattice="-5.565 5.660 2.737 -3.477 0.063 1.406 -0.178 1.438 8.189" Properties=species:S:1:pos:R:3 comment="AlS3Br (GGA-PBE, optimized geometry)" dos_at_fermi_per_ev_atom=0.00 sg=P1 crystal_system=triclinic energy_ev_per_atom=-4.062 polymorph_energy_mev_per_atom=0 total_magnetization_mub_per_fu=0.0 raw_formation_energy_ev_per_atom=-0.503 pbc="T T T"
Al -1.656 1.139 5.497
S -5.637 5.451 9.119
S -3.299 2.649 6.257
S -2.880 3.514 8.141
Br -8.415 6.081 6.431